Entry 1:
Material: Ce5Se4Cl
Method: DFT, GGA-PBE
State: optimized geometry

**Spin magnetization**: 4.1 μB/f.u.
**Formation energy (no corrections)**: -1730.6 meV per atom

Lattice parameters (Å, degrees): 9.316 9.316 5.894 90.00 90.00 90.00
Space group I4/m (No. 87)
Asymmetric unit:
Ce 0.000 0.000 0.000 [2 per cell]
Ce 0.100 0.701 0.500 [8 per cell]
Se 0.099 0.699 0.000 [8 per cell]
Cl 0.000 0.000 0.500 [2 per cell]

=====

Entry 2:
Material: Ce4Se5Cl
Method: DFT, GGA-PBE
State: optimized geometry

**Spin magnetization**: 4.4 μB/f.u.
**Formation energy (no corrections)**: -1738.2 meV per atom

Lattice parameters (Å, degrees): 19.564 4.300 7.891 90.00 113.74 90.00
Space group C2/m (No. 12)
Asymmetric unit:
Ce 0.000 0.000 0.246 [4 per cell]
Ce 0.217 0.500 0.717 [4 per cell]
Se 0.000 0.500 0.000 [2 per cell]
Se 0.164 0.000 0.427 [4 per cell]
Se 0.164 0.000 0.901 [4 per cell]
Cl 0.000 0.500 0.500 [2 per cell]

=====

Entry 3:
Material: Ce2SeCl3
Method: DFT, GGA-PBE
State: optimized geometry

**Spin magnetization**: 2.9 μB/f.u.
**Formation energy (no corrections)**: -1955.0 meV per atom

Lattice parameters (Å, degrees): 9.129 4.164 11.767 90.00 112.00 90.00
Space group P2_1/m (No. 11)
Asymmetric unit:
Ce 0.104 0.250 0.383 [2 per cell]
Ce 0.319 0.750 0.834 [2 per cell]
Se 0.150 0.250 0.648 [2 per cell]
Cl 0.041 0.750 0.871 [2 per cell]
Cl 0.314 0.750 0.399 [2 per cell]
Cl 0.440 0.750 0.102 [2 per cell]

=====

> What is the formula in the first record?

Ce5Se4Cl

=====

> What is the formation energy (no corrections) in the third record?

-1955.0 meV per atom

=====

> Among the records above, which one has the highest formation energy (no corrections)?

Ce5Se4Cl